Record 1
Compound: AlCr2Br
Source: Alexandria via LeMat-Bulk
Functional: meta-GGA SCAN
Structure: single point on PBEsol structure

a b c (Å): 2.9574 4.2516 4.9508
angles (deg): 90.00 90.00 90.00
Closest atoms and distances in Å follow each position.
Positions (direct):
Cr 0.0000 0.0000 0.0000  4 Al 2.59, 4 Cr 2.88
Cr 0.5000 0.0000 0.5000  4 Br 2.59, 4 Cr 2.88
Al 0.5000 0.5000 0.0000  4 Cr 2.59, 4 Br 2.88
Br 0.0000 0.5000 0.5000  4 Cr 2.59, 4 Al 2.88

Excess energy over the best structure of this formula in the dataset = 0.150 eV/atom
Raw formation energy = 0.5567 eV/atom
DOS at the Fermi energy = 2.018 states/eV per cell
Uncorrected energy = -15.4385 eV/atom
Calculated volume = 62.2 Å³/cell

***

Record 2
Compound: K2VOF4
Source: Alexandria via LeMat-Bulk
Functional: meta-GGA SCAN
Structure: single point on PBEsol structure

a b c (Å): 5.6419 7.3336 11.4154
angles (deg): 90.00 90.00 90.00
Closest atoms and distances in Å follow each position.
Positions (direct):
K 0.9975 0.2348 0.2219  5 F 2.63-2.80, 2 O 2.83-2.90
K 0.0025 0.7348 0.2781  5 F 2.63-2.80, 2 O 2.83-2.90
K 0.4975 0.2652 0.7781  5 F 2.63-2.80, 2 O 2.83-2.90
K 0.5025 0.7652 0.7219  5 F 2.63-2.80, 2 O 2.83-2.90
K 0.0048 0.9179 0.9124  7 F 2.67-2.94, 2 O 2.77-2.94
K 0.9952 0.4179 0.5876  7 F 2.67-2.94, 2 O 2.77-2.94
K 0.5048 0.5821 0.0876  7 F 2.67-2.94, 2 O 2.77-2.94
K 0.4952 0.0821 0.4124  7 F 2.67-2.94, 2 O 2.77-2.94
V 0.0201 0.4343 0.9330  1 O 1.62
V 0.9799 0.9343 0.5670  1 O 1.62
V 0.5201 0.0657 0.0670  1 O 1.62
V 0.4799 0.5657 0.4330  1 O 1.62
O 0.2356 0.5608 0.8857  1 V 1.62
O 0.7644 0.0608 0.6143  1 V 1.62
O 0.7356 0.9392 0.1143  1 V 1.62
O 0.2644 0.4392 0.3857  1 V 1.62
F 0.9880 0.5287 0.0901  1 V 1.93
F 0.0120 0.0287 0.4099  1 V 1.93
F 0.4880 0.9713 0.9099  1 V 1.93
F 0.5120 0.4713 0.5901  1 V 1.93
F 0.2106 0.2380 0.0006  1 V 1.95
F 0.7894 0.7380 0.4994  1 V 1.95
F 0.7106 0.2620 0.9994  1 V 1.95
F 0.2894 0.7620 0.5006  1 V 1.95
F 0.9737 0.2775 0.8032  1 V 1.89
F 0.0263 0.7775 0.6968  1 V 1.89
F 0.4737 0.2225 0.1968  1 V 1.89
F 0.5263 0.7225 0.3032  1 V 1.89
F 0.2572 0.9223 0.1141  1 V 1.90
F 0.7428 0.4223 0.3859  1 V 1.90
F 0.7572 0.5777 0.8859  1 V 1.90
F 0.2428 0.0777 0.6141  1 V 1.90

Raw formation energy = -3.0755 eV/atom
DOS at the Fermi energy = 0.000 states/eV per cell
Uncorrected energy = -9.8927 eV/atom
Calculated volume = 472.3 Å³/cell

***

Record 3
Compound: LaBe2TcAu
Source: Alexandria via LeMat-Bulk
Functional: meta-GGA SCAN
Structure: single point on PBEsol structure

a b c (Å): 4.4234 4.4234 5.0316
angles (deg): 90.00 90.00 90.00
Closest atoms and distances in Å follow each position.
Positions (direct):
Be 0.0000 0.5000 0.0000  2 Tc 2.21
Be 0.5000 0.0000 0.0000  2 Tc 2.21
Au 0.5000 0.5000 0.5000  4 La 3.13, 8 Be 3.35
Tc 0.0000 0.0000 0.0000  4 Be 2.21
La 0.0000 0.0000 0.5000  2 Tc 2.52

DOS at the Fermi energy = 2.164 states/eV per cell
Uncorrected energy = -30.7551 eV/atom
Calculated volume = 98.4 Å³/cell